Entry 1:
# Sr2TiPbC | Alexandria | PBE-GGA | relaxed
# E_tot = -4.06 eV per atom
data_Sr2TiPbC
_cell_length_a 5.385
_cell_length_b 5.385
_cell_length_c 4.849
_cell_angle_alpha 90.00
_cell_angle_beta 90.00
_cell_angle_gamma 90.00
_space_group_name_H-M_alt 'P 4/m m m'
_space_group_IT_number 123
_space_group_name_Hall '-P 4 2'
loop_
_atom_site_label
_atom_site_type_symbol
_atom_site_fract_x
_atom_site_fract_y
_atom_site_fract_z
Sr1 Sr 0.000 0.500 0.000
Ti1 Ti 0.000 0.000 0.500
Pb1 Pb 0.500 0.500 0.500
C1 C 0.500 0.500 0.000

***

Entry 2:
# SrY2PbC | Alexandria | PBE-GGA | relaxed
# E_tot = -5.87 eV per atom
data_SrY2PbC
_cell_length_a 4.975
_cell_length_b 4.975
_cell_length_c 5.287
_cell_angle_alpha 90.00
_cell_angle_beta 90.00
_cell_angle_gamma 90.00
_space_group_name_H-M_alt 'P 4/m m m'
_space_group_IT_number 123
_space_group_name_Hall '-P 4 2'
loop_
_atom_site_label
_atom_site_type_symbol
_atom_site_fract_x
_atom_site_fract_y
_atom_site_fract_z
Sr1 Sr 0.000 0.000 0.000
Y1 Y 0.000 0.500 0.500
Pb1 Pb 0.500 0.500 0.000
C1 C 0.000 0.000 0.500

***

Entry 3:
# Ta2PbC | Alexandria | PBE-GGA | relaxed
# E_tot = -7.70 eV per atom
data_Ta2PbC
_cell_length_a 6.438
_cell_length_b 6.438
_cell_length_c 6.438
_cell_angle_alpha 90.00
_cell_angle_beta 90.00
_cell_angle_gamma 90.00
_space_group_name_H-M_alt 'F m -3 m'
_space_group_IT_number 225
_space_group_name_Hall '-F 4 2 3'
loop_
_atom_site_label
_atom_site_type_symbol
_atom_site_fract_x
_atom_site_fract_y
_atom_site_fract_z
Ta1 Ta 0.250 0.250 0.250
Pb1 Pb 0.000 0.000 0.000
C1 C 0.000 0.000 0.500

***

Entry 4:
# TaPb2C | Alexandria | PBE-GGA | relaxed
# E_tot = -5.53 eV per atom
data_TaPb2C
_cell_length_a 7.162
_cell_length_b 7.162
_cell_length_c 6.341
_cell_angle_alpha 90.00
_cell_angle_beta 90.00
_cell_angle_gamma 90.00
_space_group_name_H-M_alt 'I -4 2 d'
_space_group_IT_number 122
_space_group_name_Hall 'I -4 2bw'
loop_
_atom_site_label
_atom_site_type_symbol
_atom_site_fract_x
_atom_site_fract_y
_atom_site_fract_z
Ta1 Ta 0.000 0.000 0.000
Pb1 Pb 0.184 0.250 0.625
C1 C 0.000 0.000 0.500

***

Entry 5:
# Ta2PbC | Alexandria | PBE-GGA | relaxed
# E_tot = -8.44 eV per atom
data_Ta2PbC
_cell_length_a 5.520
_cell_length_b 5.520
_cell_length_c 11.190
_cell_angle_alpha 90.00
_cell_angle_beta 90.00
_cell_angle_gamma 90.00
_space_group_name_H-M_alt 'I -4 2 d'
_space_group_IT_number 122
_space_group_name_Hall 'I -4 2bw'
loop_
_atom_site_label
_atom_site_type_symbol
_atom_site_fract_x
_atom_site_fract_y
_atom_site_fract_z
Ta1 Ta 0.116 0.250 0.125
Pb1 Pb 0.000 0.000 0.500
C1 C 0.000 0.000 0.000

***

Entry 6:
# Ta2ZnPbC | Alexandria | PBE-GGA | relaxed
# E_tot = -6.96 eV per atom
data_Ta2ZnPbC
_cell_length_a 4.267
_cell_length_b 4.267
_cell_length_c 5.061
_cell_angle_alpha 90.00
_cell_angle_beta 90.00
_cell_angle_gamma 90.00
_space_group_name_H-M_alt 'P 4/m m m'
_space_group_IT_number 123
_space_group_name_Hall '-P 4 2'
loop_
_atom_site_label
_atom_site_type_symbol
_atom_site_fract_x
_atom_site_fract_y
_atom_site_fract_z
Ta1 Ta 0.000 0.500 0.000
Zn1 Zn 0.000 0.000 0.500
Pb1 Pb 0.500 0.500 0.500
C1 C 0.500 0.500 0.000

***

no.,D(E_F) (states/eV per cell),formation enthalpy at 0 K (eV/atom)
1,7.58,0.7749
2,0.92,-0.3648
3,16.54,1.4547
4,14.80,1.5979
5,13.98,0.7209
6,2.99,0.6207